[1]
First-principles (PBE) data for crystalline RbY2CuTe4 at its relaxed geometry, as listed in Alexandria.

As for the crystal system: orthorhombic. The value obtained for the calculated volume is 1047.8 Å³ per cell. Its uncorrected energy is -4.969 eV per atom.

The space group is Cmcm (No. 63) and the conventional cell measures 4.4099, 15.3291 and 15.5007 Å, with angles of 90.00, 90.00 and 90.00 degrees. The inequivalent atoms are Rb at (0.0000, 0.1128, 0.2500), Y at (0.0000, 0.3661, 0.0645), Cu at (0.0000, 0.1612, 0.7500), Te at (0.0000, 0.0000, 0.0000), Te at (0.0000, 0.2637, 0.6109) and Te at (0.0000, 0.4326, 0.2500).

***

[2]
First-principles (PBE) data for crystalline HfGaS2 at its relaxed geometry, as listed in Alexandria.

As for the crystal system: trigonal. The value obtained for the calculated volume is 257.0 Å³ per cell. Its uncorrected energy is -6.353 eV per atom.

The space group is R3m (No. 160, hexagonal axes) and the conventional cell measures 3.5360, 3.5360 and 23.7299 Å, with angles of 90.00, 90.00 and 120.00 degrees. The inequivalent atoms are Hf at (0.0000, 0.0000, 0.0000), Ga at (0.0000, 0.0000, 0.8400), S at (0.0000, 0.0000, 0.3978) and S at (0.0000, 0.0000, 0.6010).

***

[3]
First-principles (PBE) data for crystalline CaMgS2Cl at its relaxed geometry, as listed in Alexandria.

The value obtained for the relative energy among the computed polymorphs is 0 meV/atom. As for the crystal system: tetragonal. The value obtained for the calculated volume is 114.6 Å³ per cell.

The space group is P4/mmm (No. 123) and the conventional cell measures 4.8116, 4.8116 and 4.9482 Å, with angles of 90.00, 90.00 and 90.00 degrees. The inequivalent atoms are Ca at (0.0000, 0.0000, 0.0000), Mg at (0.5000, 0.5000, 0.5000), S at (0.0000, 0.5000, 0.5000) and Cl at (0.5000, 0.5000, 0.0000).

***

[4]
First-principles (PBE) data for crystalline TlZnF3 at its relaxed geometry, as listed in Alexandria.

As for the crystal system: monoclinic. The value obtained for the calculated volume is 170.3 Å³ per cell. Its uncorrected energy is -3.922 eV per atom.

The space group is P2_1/m (No. 11) and the conventional cell measures 4.8658, 5.8070 and 6.0613 Å, with angles of 90.00, 95.95 and 90.00 degrees. The inequivalent atoms are Tl at (0.1598, 0.2500, 0.3840), Zn at (0.4333, 0.7500, 0.0794), F at (0.2727, 0.5032, 0.8677) and F at (0.2819, 0.7500, 0.3632).

***

[5]
First-principles (PBE) data for crystalline NaSnI2N at its relaxed geometry, as listed in Alexandria.

The value obtained for the relative energy among the computed polymorphs is 574 meV/atom. As for the crystal system: tetragonal. The value obtained for the calculated volume is 158.0 Å³ per cell.

The space group is P4/mmm (No. 123) and the conventional cell measures 5.9561, 5.9561 and 4.4531 Å, with angles of 90.00, 90.00 and 90.00 degrees. The inequivalent atoms are Na at (0.0000, 0.0000, 0.0000), Sn at (0.5000, 0.5000, 0.5000), I at (0.0000, 0.5000, 0.0000) and N at (0.0000, 0.0000, 0.5000).

***

[6]
First-principles (PBE) data for crystalline AcSiGeRh6 at its relaxed geometry, as listed in Alexandria.

As for the crystal system: orthorhombic. The value obtained for the calculated volume is 664.1 Å³ per cell. Its uncorrected energy is -6.626 eV per atom.

The space group is Imma (No. 74) and the conventional cell measures 6.4245, 9.1420 and 11.3075 Å, with angles of 90.00, 90.00 and 90.00 degrees. The inequivalent atoms are Ac at (0.0000, 0.2500, 0.1730), Si at (0.0000, 0.0000, 0.5000), Ge at (0.2500, 0.2500, 0.7500), Rh at (0.0000, 0.2500, 0.4325), Rh at (0.0000, 0.2500, 0.9099) and Rh at (0.2329, 0.0174, 0.8699).